# 1
{
  "formula": "NaTbIn2I6",
  "functional": "PBE",
  "state": "relaxed",
  "final_energy_ev_per_atom": -2.959,
  "space_group": "Fm-3m (225)",
  "lattice": [[0.000, 6.068, 6.068], [6.068, 0.000, 6.068], [6.068, 6.068, 0.000]],
  "species": ["Na", "Tb", "In", "In", "I", "I", "I", "I", "I", "I"],
  "frac_coords": [[0.000, 0.000, 0.000], [0.500, 0.500, 0.500], [0.250, 0.250, 0.250], [0.750, 0.750, 0.750], [0.252, 0.252, 0.748], [0.252, 0.748, 0.252], [0.252, 0.748, 0.748], [0.748, 0.252, 0.252], [0.748, 0.252, 0.748], [0.748, 0.748, 0.252]]
}

---

# 2
{
  "formula": "NaTmIn2I6",
  "functional": "PBE",
  "state": "relaxed",
  "final_energy_ev_per_atom": -2.937,
  "space_group": "Fm-3m (225)",
  "lattice": [[0.000, 6.023, 6.023], [6.023, 0.000, 6.023], [6.023, 6.023, 0.000]],
  "species": ["Na", "Tm", "In", "In", "I", "I", "I", "I", "I", "I"],
  "frac_coords": [[0.000, 0.000, 0.000], [0.500, 0.500, 0.500], [0.250, 0.250, 0.250], [0.750, 0.750, 0.750], [0.254, 0.254, 0.746], [0.254, 0.746, 0.254], [0.254, 0.746, 0.746], [0.746, 0.254, 0.254], [0.746, 0.254, 0.746], [0.746, 0.746, 0.254]]
}

---

# 3
{
  "formula": "PrNdIn2I2",
  "functional": "PBE",
  "state": "relaxed",
  "final_energy_ev_per_atom": -3.938,
  "space_group": "P3m1 (156)",
  "lattice": [[4.629, 0.000, 0.000], [-2.314, 4.009, 0.000], [0.000, 0.000, 12.044]],
  "species": ["Pr", "Nd", "In", "In", "I", "I"],
  "frac_coords": [[0.000, 0.000, 0.000], [0.000, 0.000, 0.369], [0.333, 0.667, 0.223], [0.667, 0.333, 0.147], [0.333, 0.667, 0.841], [0.667, 0.333, 0.528]]
}

---

# 4
{
  "formula": "NpInI6",
  "functional": "PBE",
  "state": "relaxed",
  "final_energy_ev_per_atom": -3.790,
  "space_group": "C2 (5)",
  "lattice": [[3.907, -6.690, 0.000], [3.907, 6.690, 0.000], [-2.460, 0.000, 7.373]],
  "species": ["Np", "In", "I", "I", "I", "I", "I", "I"],
  "frac_coords": [[0.000, 0.000, 0.000], [0.332, 0.668, 0.000], [0.103, 0.418, 0.232], [0.239, 0.267, 0.767], [0.387, 0.050, 0.239], [0.582, 0.897, 0.768], [0.733, 0.761, 0.233], [0.950, 0.613, 0.761]]
}

---

# 5
{
  "formula": "PaIn2I6",
  "functional": "PBE",
  "state": "relaxed",
  "final_energy_ev_per_atom": -3.459,
  "space_group": "P2_1/c (14)",
  "lattice": [[8.188, 0.000, 0.000], [0.000, 8.749, 0.000], [-6.963, 0.000, 11.819]],
  "species": ["Pa", "Pa", "In", "In", "In", "In", "I", "I", "I", "I", "I", "I", "I", "I", "I", "I", "I", "I"],
  "frac_coords": [[0.000, 0.000, 0.000], [0.000, 0.500, 0.500], [0.326, 0.107, 0.789], [0.326, 0.393, 0.289], [0.674, 0.607, 0.711], [0.674, 0.893, 0.211], [0.094, 0.043, 0.243], [0.094, 0.457, 0.743], [0.235, 0.709, 0.069], [0.235, 0.791, 0.569], [0.354, 0.183, 0.051], [0.354, 0.317, 0.551], [0.646, 0.683, 0.449], [0.646, 0.817, 0.949], [0.765, 0.209, 0.431], [0.765, 0.291, 0.931], [0.906, 0.543, 0.257], [0.906, 0.957, 0.757]]
}

---

# 6
{
  "formula": "Pm7InI12",
  "functional": "PBE",
  "state": "relaxed",
  "final_energy_ev_per_atom": -3.938,
  "space_group": "R-3 (148)",
  "lattice": [[8.097, 4.675, 3.555], [-8.097, 4.675, 3.555], [0.000, -9.349, 3.555]],
  "species": ["Pm", "Pm", "Pm", "Pm", "Pm", "Pm", "Pm", "In", "I", "I", "I", "I", "I", "I", "I", "I", "I", "I", "I", "I"],
  "frac_coords": [[0.000, 0.000, 0.000], [0.168, 0.458, 0.388], [0.388, 0.168, 0.458], [0.458, 0.388, 0.168], [0.542, 0.612, 0.832], [0.612, 0.832, 0.542], [0.832, 0.542, 0.612], [0.500, 0.500, 0.500], [0.027, 0.106, 0.344], [0.106, 0.344, 0.027], [0.191, 0.578, 0.732], [0.268, 0.809, 0.422], [0.344, 0.027, 0.106], [0.422, 0.268, 0.809], [0.578, 0.732, 0.191], [0.656, 0.973, 0.894], [0.732, 0.191, 0.578], [0.809, 0.422, 0.268], [0.894, 0.656, 0.973], [0.973, 0.894, 0.656]]
}

---

# 7
{
  "formula": "Pr2InSiI2",
  "functional": "PBE",
  "state": "relaxed",
  "final_energy_ev_per_atom": -4.412,
  "space_group": "P3m1 (156)",
  "lattice": [[4.404, 0.000, 0.000], [-2.202, 3.814, 0.000], [0.000, 0.000, 12.556]],
  "species": ["Pr", "Pr", "In", "Si", "I", "I"],
  "frac_coords": [[0.000, 0.000, 0.000], [0.000, 0.000, 0.345], [0.667, 0.333, 0.155], [0.333, 0.667, 0.198], [0.333, 0.667, 0.837], [0.667, 0.333, 0.508]]
}

---

# 8
{
  "formula": "TbInI6",
  "functional": "PBE",
  "state": "relaxed",
  "final_energy_ev_per_atom": -3.013,
  "space_group": "C2 (5)",
  "lattice": [[3.811, -6.610, 0.000], [3.811, 6.610, 0.000], [-2.477, 0.000, 7.405]],
  "species": ["Tb", "In", "I", "I", "I", "I", "I", "I"],
  "frac_coords": [[0.000, 0.000, 0.000], [0.668, 0.332, 0.000], [0.049, 0.389, 0.238], [0.267, 0.239, 0.765], [0.418, 0.100, 0.233], [0.611, 0.951, 0.762], [0.761, 0.733, 0.235], [0.900, 0.582, 0.767]]
}

---

# 9
{
  "formula": "ThIn2I6",
  "functional": "PBE",
  "state": "relaxed",
  "final_energy_ev_per_atom": -3.371,
  "space_group": "P2_1/c (14)",
  "lattice": [[8.233, 0.000, 0.000], [0.000, 8.785, 0.000], [-6.944, 0.000, 11.951]],
  "species": ["Th", "Th", "In", "In", "In", "In", "I", "I", "I", "I", "I", "I", "I", "I", "I", "I", "I", "I"],
  "frac_coords": [[0.000, 0.000, 0.000], [0.000, 0.500, 0.500], [0.330, 0.108, 0.792], [0.330, 0.392, 0.292], [0.670, 0.608, 0.708], [0.670, 0.892, 0.208], [0.086, 0.049, 0.242], [0.086, 0.451, 0.742], [0.238, 0.708, 0.074], [0.238, 0.792, 0.574], [0.356, 0.184, 0.051], [0.356, 0.316, 0.551], [0.644, 0.684, 0.449], [0.644, 0.816, 0.949], [0.762, 0.208, 0.426], [0.762, 0.292, 0.926], [0.914, 0.549, 0.258], [0.914, 0.951, 0.758]]
}

---

# 10
{
  "formula": "ZnIn2I4",
  "functional": "PBE",
  "state": "relaxed",
  "final_energy_ev_per_atom": -2.364,
  "space_group": "P2_1 (4)",
  "lattice": [[7.866, 0.000, 0.000], [0.000, 8.183, 0.000], [-2.908, 0.000, 9.008]],
  "species": ["Zn", "Zn", "In", "In", "In", "In", "I", "I", "I", "I", "I", "I", "I", "I"],
  "frac_coords": [[0.218, 0.000, 0.299], [0.782, 0.500, 0.701], [0.233, 0.454, 0.554], [0.249, 0.436, 0.066], [0.751, 0.936, 0.934], [0.767, 0.954, 0.446], [0.024, 0.731, 0.245], [0.026, 0.736, 0.771], [0.409, 0.036, 0.580], [0.421, 0.030, 0.124], [0.579, 0.530, 0.876], [0.591, 0.536, 0.420], [0.974, 0.236, 0.229], [0.976, 0.231, 0.755]]
}

---

# 11
{
  "formula": "ZrIn2I6",
  "functional": "PBE",
  "state": "relaxed",
  "final_energy_ev_per_atom": -3.321,
  "space_group": "P2_1/c (14)",
  "lattice": [[7.913, 0.000, 0.000], [0.000, 8.617, 0.000], [-7.030, 0.000, 11.376]],
  "species": ["Zr", "Zr", "In", "In", "In", "In", "I", "I", "I", "I", "I", "I", "I", "I", "I", "I", "I", "I"],
  "frac_coords": [[0.000, 0.000, 0.000], [0.000, 0.500, 0.500], [0.318, 0.109, 0.783], [0.318, 0.391, 0.283], [0.682, 0.609, 0.717], [0.682, 0.891, 0.217], [0.110, 0.032, 0.241], [0.110, 0.468, 0.741], [0.226, 0.717, 0.059], [0.226, 0.783, 0.559], [0.346, 0.179, 0.049], [0.346, 0.321, 0.549], [0.654, 0.679, 0.451], [0.654, 0.821, 0.951], [0.774, 0.217, 0.441], [0.774, 0.283, 0.941], [0.890, 0.532, 0.259], [0.890, 0.968, 0.759]]
}

---

# 12
{
  "formula": "IrI",
  "functional": "PBE",
  "state": "relaxed",
  "final_energy_ev_per_atom": -4.242,
  "space_group": "R-3m (166)",
  "lattice": [[1.930, 1.114, 3.287], [-1.930, 1.114, 3.287], [0.000, -2.228, 3.287]],
  "species": ["Ir", "I"],
  "frac_coords": [[0.000, 0.000, 0.000], [0.500, 0.500, 0.500]]
}

---

# 13
{
  "formula": "IrI",
  "functional": "PBE",
  "state": "relaxed",
  "final_energy_ev_per_atom": -4.227,
  "space_group": "F-43m (216)",
  "lattice": [[0.000, 2.989, 2.989], [2.989, 0.000, 2.989], [2.989, 2.989, 0.000]],
  "species": ["Ir", "I"],
  "frac_coords": [[0.000, 0.000, 0.000], [0.250, 0.250, 0.250]]
}

---

# 14
{
  "formula": "IrI3",
  "functional": "PBE",
  "state": "relaxed",
  "final_energy_ev_per_atom": -3.440,
  "space_group": "P6_3/mcm (193)",
  "lattice": [[7.063, 0.000, 0.000], [-3.531, 6.117, 0.000], [0.000, 0.000, 6.911]],
  "species": ["Ir", "Ir", "I", "I", "I", "I", "I", "I"],
  "frac_coords": [[0.000, 0.000, 0.000], [0.000, 0.000, 0.500], [0.000, 0.293, 0.250], [0.000, 0.707, 0.750], [0.293, 0.000, 0.250], [0.293, 0.293, 0.750], [0.707, 0.000, 0.750], [0.707, 0.707, 0.250]]
}

---

# 15
{
  "formula": "IrI3",
  "functional": "PBE",
  "state": "relaxed",
  "final_energy_ev_per_atom": -3.408,
  "space_group": "Pnma (62)",
  "lattice": [[10.129, 0.000, 0.000], [0.000, 4.037, 0.000], [0.000, 0.000, 13.515]],
  "species": ["Ir", "Ir", "Ir", "Ir", "I", "I", "I", "I", "I", "I", "I", "I", "I", "I", "I", "I"],
  "frac_coords": [[0.127, 0.250, 0.083], [0.373, 0.750, 0.583], [0.627, 0.250, 0.417], [0.873, 0.750, 0.917], [0.046, 0.250, 0.892], [0.171, 0.250, 0.278], [0.199, 0.250, 0.557], [0.301, 0.750, 0.057], [0.329, 0.750, 0.778], [0.454, 0.750, 0.392], [0.546, 0.250, 0.608], [0.671, 0.250, 0.222], [0.699, 0.250, 0.943], [0.801, 0.750, 0.443], [0.829, 0.750, 0.722], [0.954, 0.750, 0.108]]
}

---

# 16
{
  "formula": "IrI2",
  "functional": "PBE",
  "state": "relaxed",
  "final_energy_ev_per_atom": -1.675,
  "space_group": "Fd-3m (227)",
  "lattice": [[0.000, 4.469, 4.469], [4.469, 0.000, 4.469], [4.469, 4.469, 0.000]],
  "species": ["Ir", "Ir", "I", "I", "I", "I"],
  "frac_coords": [[0.125, 0.125, 0.125], [0.875, 0.875, 0.875], [0.000, 0.500, 0.500], [0.500, 0.000, 0.500], [0.500, 0.500, 0.000], [0.500, 0.500, 0.500]]
}

---

# 17
{
  "formula": "Ir3I2",
  "functional": "PBE",
  "state": "relaxed",
  "final_energy_ev_per_atom": -4.793,
  "space_group": "R-3c (167)",
  "lattice": [[3.345, 1.931, 5.347], [-3.345, 1.931, 5.347], [0.000, -3.862, 5.347]],
  "species": ["Ir", "Ir", "Ir", "Ir", "Ir", "Ir", "I", "I", "I", "I"],
  "frac_coords": [[0.014, 0.250, 0.486], [0.250, 0.486, 0.014], [0.486, 0.014, 0.250], [0.514, 0.986, 0.750], [0.750, 0.514, 0.986], [0.986, 0.750, 0.514], [0.112, 0.112, 0.112], [0.388, 0.388, 0.388], [0.612, 0.612, 0.612], [0.888, 0.888, 0.888]]
}

---

# 18
{
  "formula": "IrI",
  "functional": "PBE",
  "state": "relaxed",
  "final_energy_ev_per_atom": -3.944,
  "space_group": "P-6m2 (187)",
  "lattice": [[3.719, 0.000, 0.000], [-1.860, 3.221, 0.000], [0.000, 0.000, 3.647]],
  "species": ["Ir", "I"],
  "frac_coords": [[0.000, 0.000, 0.000], [0.333, 0.667, 0.500]]
}

---

# 19
{
  "formula": "IrI3",
  "functional": "PBE",
  "state": "relaxed",
  "final_energy_ev_per_atom": -3.434,
  "space_group": "P2_1/c (14)",
  "lattice": [[6.899, 0.000, 0.000], [0.000, 6.443, 0.000], [-6.823, 0.000, 11.510]],
  "species": ["Ir", "Ir", "Ir", "Ir", "I", "I", "I", "I", "I", "I", "I", "I", "I", "I", "I", "I"],
  "frac_coords": [[0.160, 0.001, 0.410], [0.160, 0.499, 0.910], [0.840, 0.501, 0.090], [0.840, 0.999, 0.590], [0.152, 0.726, 0.077], [0.152, 0.774, 0.577], [0.179, 0.248, 0.750], [0.179, 0.252, 0.250], [0.499, 0.725, 0.923], [0.499, 0.775, 0.423], [0.501, 0.225, 0.577], [0.501, 0.275, 0.077], [0.821, 0.748, 0.750], [0.821, 0.752, 0.250], [0.848, 0.226, 0.423], [0.848, 0.274, 0.923]]
}

---

# 20
{
  "formula": "IrI3",
  "functional": "PBE",
  "state": "relaxed",
  "final_energy_ev_per_atom": -3.500,
  "space_group": "C2/c (15)",
  "lattice": [[3.464, -5.966, 0.000], [3.464, 5.966, 0.000], [-0.060, 0.000, 13.901]],
  "species": ["Ir", "Ir", "Ir", "Ir", "I", "I", "I", "I", "I", "I", "I", "I", "I", "I", "I", "I"],
  "frac_coords": [[0.000, 0.000, 0.250], [0.000, 0.000, 0.750], [0.333, 0.667, 0.750], [0.667, 0.333, 0.250], [0.021, 0.333, 0.642], [0.024, 0.690, 0.858], [0.310, 0.976, 0.642], [0.312, 0.334, 0.858], [0.333, 0.021, 0.142], [0.334, 0.312, 0.358], [0.666, 0.688, 0.642], [0.667, 0.979, 0.858], [0.688, 0.666, 0.142], [0.690, 0.024, 0.358], [0.976, 0.310, 0.142], [0.979, 0.667, 0.358]]
}